Here is a geometry-optimized K3Co structure from Alexandria. Energies are from PBE-GGA.

Cell and atoms, written as POSCAR:
```
K3Co
1.0
2.500 5.242 -5.708
-7.386 -3.385 -0.536
-2.381 4.678 3.254
K Co
6 2
direct
0.180 0.360 0.250 K
0.640 0.820 0.250 K
0.180 0.820 0.250 K
0.820 0.640 0.750 K
0.360 0.180 0.750 K
0.820 0.180 0.750 K
0.333 0.667 0.750 Co
0.667 0.333 0.250 Co
```

E_form ... 0.7997 eV per atom
Offset from the most stable computed form ... 0.27 eV per formula unit